## BaPaW (PBE)

Data for a relaxed BaPaW crystal.

Structure (POSCAR):
```
BaPaW
1.0
7.097 0.000 0.000
0.000 7.097 0.000
0.000 0.000 7.097
Ba Pa W
4 4 4
Direct
0.000 0.000 0.000
0.000 0.500 0.500
0.500 0.000 0.500
0.500 0.500 0.000
0.000 0.000 0.500
0.000 0.500 0.000
0.500 0.000 0.000
0.500 0.500 0.500
0.250 0.250 0.750
0.250 0.750 0.250
0.750 0.250 0.250
0.750 0.750 0.750
```

Values from the calculation:
Total magnetization: 0.13 Bohr magnetons per cell
Space group: F-43m
Offset from the most stable computed form: 0.039 eV/atom